Density functional theory data (PBE) for a relaxed structure of HgRhCl3.

The structure in CIF format:
```
data_HgRhCl3
_chemical_formula_sum 'Hg1 Rh1 Cl3'
_cell_length_a 4.8388
_cell_length_b 4.8388
_cell_length_c 4.8388
_cell_angle_alpha 90.00
_cell_angle_beta 90.00
_cell_angle_gamma 90.00
_space_group_name_H-M_alt 'P m -3 m'
_space_group_IT_number 221
_space_group_name_Hall '-P 4 2 3'
loop_
_atom_site_label
_atom_site_type_symbol
_atom_site_fract_x
_atom_site_fract_y
_atom_site_fract_z
Hg1 Hg 0.0000 0.0000 0.0000
Rh1 Rh 0.5000 0.5000 0.5000
Cl1 Cl 0.0000 0.5000 0.5000
```

Results
M_tot	0.0	μB per formula unit
ΔE to the lowest computed polymorph	0.211	eV per atom
mass density	6.0	g cm⁻³
raw formation energy	-0.22	eV/atom
V	113	Å³/cell